DFT (SCAN) results for a PBEsol-optimized structure of LiSi2Au.

Calculated values
Offset from the most stable computed form, eV/atom: 0.1656
Energy relative to the elements, uncorrected, eV/atom: 0.113
Crystal system: orthorhombic

Cell lengths 3.762, 3.926, 8.055 Å; angles 90.00, 90.00, 90.00 degrees
Positions (direct):
Li 0.000 0.000 0.000
Li 0.500 0.500 0.000
Si 0.000 0.000 0.510
Si 0.000 0.500 0.755
Si 0.500 0.000 0.755
Si 0.500 0.500 0.510
Au 0.000 0.500 0.242
Au 0.500 0.000 0.242